Compound: Tb6ZnRu2
Source: Alexandria via LeMat-Bulk
Functional: PBE-GGA
Structure: relaxed

Lattice parameters (Å, degrees): 8.433 8.433 8.433 103.90 112.10 112.56
Fractional coordinates of all 18 atoms:
Tb (0.540, 0.720, 0.820)
Tb (0.460, 0.280, 0.180)
Tb (0.100, 0.280, 0.820)
Tb (0.900, 0.720, 0.180)
Tb (0.805, 0.757, 0.562)
Tb (0.195, 0.243, 0.438)
Tb (0.195, 0.757, 0.953)
Tb (0.805, 0.243, 0.047)
Tb (0.687, 0.358, 0.671)
Tb (0.313, 0.642, 0.329)
Tb (0.313, 0.985, 0.671)
Tb (0.687, 0.015, 0.329)
Zn (0.000, 0.500, 0.500)
Zn (0.000, 0.000, 0.000)
Ru (0.500, 0.373, 0.873)
Ru (0.500, 0.627, 0.127)
Ru (0.682, 0.000, 0.682)
Ru (0.318, 0.000, 0.318)

Computed properties:
Formation energy ... -0.30 eV per atom
Energy above the most stable polymorph in this dataset ... 0.0 meV/atom

Compound: BaAg4Pb8
Source: Alexandria via LeMat-Bulk
Functional: PBE-GGA
Structure: relaxed

Lattice parameters (Å, degrees): 6.158 8.305 8.305 82.10 68.24 68.24
Fractional coordinates of all 13 atoms:
Ba (0.000, 0.000, 0.000)
Ag (0.000, 0.000, 0.500)
Ag (0.500, 0.000, 0.500)
Ag (0.000, 0.500, 0.000)
Ag (0.500, 0.500, 0.000)
Pb (0.000, 0.348, 0.652)
Pb (0.000, 0.652, 0.348)
Pb (0.348, 0.652, 0.652)
Pb (0.652, 0.348, 0.348)
Pb (0.500, 0.783, 0.217)
Pb (0.500, 0.217, 0.783)
Pb (0.283, 0.217, 0.217)
Pb (0.717, 0.783, 0.783)

Computed properties:
Formation energy ... -0.08 eV per atom

Compound: K2ZrTaO6
Source: Alexandria via LeMat-Bulk
Functional: PBE-GGA
Structure: relaxed

Lattice parameters (Å, degrees): 5.847 5.847 8.268 90.00 90.00 90.00
Each line ends with the local moment (μB).
Fractional coordinates of all 20 atoms:
K (0.500, 0.750, 0.250)  0.00
K (0.000, 0.250, 0.750)  0.00
K (0.500, 0.750, 0.750)  0.00
K (0.000, 0.250, 0.250)  0.00
Zr (0.000, 0.750, 0.500)  -0.04
Zr (0.500, 0.250, 0.000)  -0.04
Ta (0.500, 0.250, 0.500)  -0.05
Ta (0.000, 0.750, 0.000)  -0.05
O (0.500, 0.250, 0.257)  0.15
O (0.500, 0.250, 0.743)  0.15
O (0.000, 0.750, 0.243)  0.15
O (0.000, 0.750, 0.757)  0.15
O (0.257, 0.007, 0.500)  0.14
O (0.743, 0.007, 0.500)  0.14
O (0.257, 0.493, 0.500)  0.14
O (0.743, 0.493, 0.500)  0.14
O (0.757, 0.507, 0.000)  0.14
O (0.243, 0.507, 0.000)  0.14
O (0.243, 0.993, 0.000)  0.14
O (0.757, 0.993, 0.000)  0.14

Computed properties:
Energy relative to the elements, uncorrected ... -2.5487 eV/atom

Compound: TbPr2Y2Mg
Source: Alexandria via LeMat-Bulk
Functional: PBE-GGA
Structure: relaxed

Lattice parameters (Å, degrees): 6.889 6.446 10.054 108.70 110.04 90.00
Fractional coordinates of all 12 atoms:
Tb (0.000, 0.750, 0.000)
Tb (0.000, 0.250, 0.000)
Pr (0.988, 0.152, 0.304)
Pr (0.316, 0.652, 0.304)
Pr (0.684, 0.348, 0.696)
Pr (0.012, 0.848, 0.696)
Y (0.495, 0.151, 0.302)
Y (0.505, 0.849, 0.698)
Y (0.194, 0.349, 0.698)
Y (0.806, 0.651, 0.302)
Mg (0.500, 0.750, 0.000)
Mg (0.500, 0.250, 0.000)

Computed properties:
Formation energy ... 0.18 eV per atom

Compound: Nb4Cd
Source: Alexandria via LeMat-Bulk
Functional: PBE-GGA
Structure: relaxed

Lattice parameters (Å, degrees): 4.938 4.938 4.938 90.00 90.00 90.00
Fractional coordinates of all 5 atoms:
Nb (0.000, 0.000, 0.000)
Nb (0.500, 0.000, 0.500)
Nb (0.000, 0.500, 0.500)
Nb (0.500, 0.500, 0.000)
Cd (0.500, 0.500, 0.500)

Computed properties:
Formation energy ... 2.05 eV per atom

Compound: Pr5Nd3Ho4
Source: Alexandria via LeMat-Bulk
Functional: PBE-GGA
Structure: relaxed

Lattice parameters (Å, degrees): 5.930 5.744 14.736 84.08 78.39 58.92
Fractional coordinates of all 12 atoms:
Pr (0.669, 0.661, 0.000)
Pr (0.500, 0.500, 0.500)
Pr (0.205, 0.340, 0.251)
Pr (0.795, 0.660, 0.749)
Pr (0.331, 0.339, 0.000)
Nd (0.455, 0.339, 0.750)
Nd (0.000, 0.500, 0.500)
Nd (0.545, 0.661, 0.250)
Ho (0.061, 0.000, 0.877)
Ho (0.176, 0.000, 0.647)
Ho (0.824, 0.000, 0.353)
Ho (0.939, 0.000, 0.123)

Computed properties:
Formation energy ... 0.21 eV per atom

Compound: TaW
Source: Alexandria via LeMat-Bulk
Functional: PBE-GGA
Structure: relaxed

Lattice parameters (Å, degrees): 9.589 5.369 5.630 100.19 107.18 86.83
Fractional coordinates of all 16 atoms:
Ta (0.503, 0.495, 0.998)
Ta (0.247, 0.255, 0.502)
Ta (0.506, 0.000, 0.254)
Ta (0.999, 0.504, 0.748)
Ta (0.247, 0.242, 0.998)
Ta (0.244, 0.750, 0.246)
Ta (0.503, 0.508, 0.502)
Ta (0.751, 0.246, 0.752)
W (0.501, 0.996, 0.752)
W (0.753, 0.754, 0.001)
W (0.997, 0.996, 0.499)
W (0.249, 0.754, 0.748)
W (0.997, 0.003, 0.001)
W (0.995, 0.499, 0.246)
W (0.753, 0.747, 0.499)
W (0.755, 0.251, 0.254)

Computed properties:
Formation energy ... -0.08 eV per atom

Compound: SnHOsRh2
Source: Alexandria via LeMat-Bulk
Functional: PBE-GGA
Structure: relaxed

Lattice parameters (Å, degrees): 3.993 3.993 4.052 90.00 90.00 90.00
Fractional coordinates of all 5 atoms:
Rh (0.000, 0.500, 0.000)
Rh (0.500, 0.000, 0.000)
Os (0.000, 0.000, 0.500)
Sn (0.500, 0.500, 0.500)
H (0.000, 0.000, 0.000)

Compound: MgSc6Ni5
Source: Alexandria via LeMat-Bulk
Functional: PBE-GGA
Structure: relaxed

Lattice parameters (Å, degrees): 4.548 6.533 7.183 90.00 108.58 90.00
Fractional coordinates of all 12 atoms:
Sc (0.827, 0.743, 0.654)
Sc (0.827, 0.257, 0.654)
Sc (0.500, 0.268, 0.000)
Sc (0.500, 0.732, 0.000)
Sc (0.173, 0.743, 0.346)
Sc (0.173, 0.257, 0.346)
Ni (0.666, 0.500, 0.335)
Ni (0.342, 0.000, 0.682)
Ni (0.000, 0.500, 0.000)
Ni (0.658, 0.000, 0.318)
Ni (0.334, 0.500, 0.665)
Mg (0.000, 0.000, 0.000)

Computed properties:
Formation energy ... -0.39 eV per atom

Compound: KLi2NbS
Source: Alexandria via LeMat-Bulk
Functional: PBE-GGA
Structure: relaxed

Lattice parameters (Å, degrees): 4.805 6.110 4.805 90.00 90.00 90.00
Each line ends with the local moment (μB).
Fractional coordinates of all 5 atoms:
S (0.000, 0.000, 0.000)  0.07
Nb (0.500, 0.500, 0.500)  3.31
K (0.000, 0.500, 0.000)  0.07
Li (0.000, 0.000, 0.500)  0.02
Li (0.500, 0.000, 0.000)  0.01

Computed properties:
Energy relative to the elements, uncorrected ... 0.4215 eV/atom

Compound: Y2Hg2Bi
Source: Alexandria via LeMat-Bulk
Functional: PBE-GGA
Structure: relaxed

Lattice parameters (Å, degrees): 8.389 8.389 4.053 90.00 90.00 90.00
Fractional coordinates of all 10 atoms:
Y (0.339, 0.839, 0.000)
Y (0.839, 0.661, 0.000)
Y (0.661, 0.161, 0.000)
Y (0.161, 0.339, 0.000)
Bi (0.000, 0.000, 0.000)
Bi (0.500, 0.500, 0.000)
Hg (0.138, 0.638, 0.500)
Hg (0.638, 0.862, 0.500)
Hg (0.862, 0.362, 0.500)
Hg (0.362, 0.138, 0.500)

Computed properties:
Formation energy ... -0.39 eV per atom
Energy above the most stable polymorph in this dataset ... 76.8 meV/atom

Compound: Cs2CuCl3
Source: Alexandria via LeMat-Bulk
Functional: PBE-GGA
Structure: relaxed

Lattice parameters (Å, degrees): 9.433 7.338 7.338 69.65 68.69 68.69
Each line ends with the local moment (μB).
Fractional coordinates of all 12 atoms:
Cs (0.665, 0.144, 0.543)  0.00
Cs (0.165, 0.543, 0.144)  0.00
Cs (0.835, 0.457, 0.856)  0.00
Cs (0.335, 0.856, 0.457)  0.00
Cu (0.750, 0.900, 0.100)  0.09
Cu (0.250, 0.100, 0.900)  0.09
Cl (0.250, 0.368, 0.632)  0.01
Cl (0.750, 0.632, 0.368)  0.01
Cl (0.945, 0.896, 0.810)  0.01
Cl (0.555, 0.190, 0.104)  0.01
Cl (0.445, 0.810, 0.896)  0.01
Cl (0.055, 0.104, 0.190)  0.01

Computed properties:
Energy above the most stable polymorph in this dataset ... 0.0 meV/atom
Energy relative to the elements, uncorrected ... -1.4745 eV/atom

Compound: NaThCd4
Source: Alexandria via LeMat-Bulk
Functional: PBE-GGA
Structure: relaxed

Lattice parameters (Å, degrees): 5.965 5.965 5.965 60.00 60.00 60.00
Fractional coordinates of all 6 atoms:
Na (0.250, 0.250, 0.250)
Th (0.000, 0.000, 0.000)
Cd (0.625, 0.625, 0.124)
Cd (0.625, 0.124, 0.625)
Cd (0.625, 0.625, 0.625)
Cd (0.124, 0.625, 0.625)

Computed properties:
Formation energy ... -0.03 eV per atom
Energy above the most stable polymorph in this dataset ... 112.9 meV/atom

Compound: Ce3CoSb
Source: Alexandria via LeMat-Bulk
Functional: PBE-GGA
Structure: relaxed

Lattice parameters (Å, degrees): 4.711 7.545 8.128 117.65 90.00 90.00
Each line ends with the local moment (μB).
Fractional coordinates of all 10 atoms:
Ce (0.500, 0.321, 0.000)  0.60
Ce (0.000, 0.885, 0.769)  0.26
Ce (0.500, 0.679, 0.000)  0.60
Ce (0.500, 0.500, 0.500)  0.70
Ce (0.000, 0.115, 0.231)  0.26
Ce (0.500, 0.000, 0.500)  0.70
Co (0.500, 0.097, 0.194)  -0.07
Co (0.500, 0.903, 0.806)  -0.07
Sb (0.000, 0.645, 0.289)  -0.02
Sb (0.000, 0.355, 0.711)  -0.02

Computed properties:
Energy above the most stable polymorph in this dataset ... 0.0 meV/atom
Energy relative to the elements, uncorrected ... -0.5367 eV/atom

Compound: PmEr2Cu9
Source: Alexandria via LeMat-Bulk
Functional: PBE-GGA
Structure: relaxed

Lattice parameters (Å, degrees): 5.195 5.195 8.768 72.77 72.77 60.00
Fractional coordinates of all 12 atoms:
Pm (0.000, 0.000, 0.000)
Er (0.857, 0.857, 0.429)
Er (0.143, 0.143, 0.571)
Cu (0.668, 0.668, 0.997)
Cu (0.332, 0.332, 0.003)
Cu (0.500, 0.500, 0.500)
Cu (0.417, 0.417, 0.249)
Cu (0.917, 0.417, 0.249)
Cu (0.417, 0.917, 0.249)
Cu (0.583, 0.583, 0.751)
Cu (0.583, 0.083, 0.751)
Cu (0.083, 0.583, 0.751)

Computed properties:
Formation energy ... -0.20 eV per atom

Compound: CaHg6
Source: Alexandria via LeMat-Bulk
Functional: PBE-GGA
Structure: relaxed

Lattice parameters (Å, degrees): 6.991 6.991 6.991 109.47 109.47 109.47
Fractional coordinates of all 7 atoms:
Ca (0.000, 0.000, 0.000)
Hg (0.250, 0.750, 0.500)
Hg (0.500, 0.750, 0.250)
Hg (0.250, 0.500, 0.750)
Hg (0.750, 0.250, 0.500)
Hg (0.500, 0.250, 0.750)
Hg (0.750, 0.500, 0.250)

Computed properties:
Formation energy ... 0.18 eV per atom
Energy above the most stable polymorph in this dataset ... 385.4 meV/atom

Compound: Ba12Sr3Li
Source: Alexandria via LeMat-Bulk
Functional: PBE-GGA
Structure: relaxed

Lattice parameters (Å, degrees): 6.946 6.946 19.708 90.00 90.00 90.00
Fractional coordinates of all 16 atoms:
Ba (0.500, 0.500, 0.000)
Ba (0.500, 0.500, 0.245)
Ba (0.500, 0.500, 0.500)
Ba (0.500, 0.500, 0.755)
Ba (0.500, 0.000, 0.117)
Ba (0.500, 0.000, 0.373)
Ba (0.500, 0.000, 0.627)
Ba (0.500, 0.000, 0.883)
Ba (0.000, 0.500, 0.117)
Ba (0.000, 0.500, 0.373)
Ba (0.000, 0.500, 0.627)
Ba (0.000, 0.500, 0.883)
Sr (0.000, 0.000, 0.249)
Sr (0.000, 0.000, 0.500)
Sr (0.000, 0.000, 0.751)
Li (0.000, 0.000, 0.000)

Computed properties:
Formation energy ... 0.03 eV per atom

Compound: Cu3Ag
Source: Alexandria via LeMat-Bulk
Functional: PBE-GGA
Structure: relaxed

Lattice parameters (Å, degrees): 4.933 4.933 4.933 116.77 116.77 116.77
Fractional coordinates of all 4 atoms:
Ag (0.000, 0.000, 0.000)
Cu (0.000, 0.500, 0.500)
Cu (0.500, 0.000, 0.500)
Cu (0.500, 0.500, 0.000)

Computed properties:
Formation energy ... 0.18 eV per atom

Compound: Rb2GaSn
Source: Alexandria via LeMat-Bulk
Functional: PBE-GGA
Structure: relaxed

Lattice parameters (Å, degrees): 6.931 8.546 11.494 86.09 90.03 90.00
Fractional coordinates of all 16 atoms:
Rb (0.750, 0.944, 0.918)
Rb (0.250, 0.056, 0.082)
Rb (0.250, 0.596, 0.573)
Rb (0.750, 0.404, 0.427)
Rb (0.750, 0.426, 0.090)
Rb (0.250, 0.574, 0.910)
Rb (0.250, 0.088, 0.407)
Rb (0.750, 0.912, 0.593)
Ga (0.067, 0.245, 0.747)
Ga (0.933, 0.755, 0.253)
Ga (0.433, 0.245, 0.747)
Ga (0.567, 0.755, 0.253)
Sn (0.250, 0.574, 0.244)
Sn (0.750, 0.426, 0.756)
Sn (0.750, 0.039, 0.256)
Sn (0.250, 0.961, 0.744)

Computed properties:
Formation energy ... -0.15 eV per atom
Energy above the most stable polymorph in this dataset ... 0.0 meV/atom

Compound: HfGeO2
Source: Alexandria via LeMat-Bulk
Functional: PBE-GGA
Structure: relaxed

Lattice parameters (Å, degrees): 6.807 6.807 6.807 28.19 28.19 28.19
Fractional coordinates of all 4 atoms:
Ge (0.500, 0.500, 0.500)
Hf (0.000, 0.000, 0.000)
O (0.899, 0.899, 0.899)
O (0.101, 0.101, 0.101)

Computed properties:
Energy relative to the elements, uncorrected ... -1.2966 eV/atom

It is found that the total magnetic moment values, taken in the order of the records, are 0.0 0.0 1.8 0.0 0.0 0.1 0.0 0.0 0.0 5.4 0.0 0.2 0.0 3.5 0.0 0.0 0.0 0.0 0.0 0.0 μB per cell.
It is found that the DFT total energy values, taken in the order of the records, are -0.41101 -0.24904 -0.57206 -0.33858 -0.45464 -0.33052 -0.91733 -0.48787 -0.44800 -0.25011 -0.28439 -0.24732 -0.15434 -0.46618 -0.32569 -0.02691 -0.13584 -0.26516 -0.17578 -0.54524 Ry/atom.